# KIrCl, optimized geometry, DFT GGA-PBE
data_KIrCl
_chemical_formula_sum 'K4 Ir4 Cl4'
_cell_length_a 7.493
_cell_length_b 7.493
_cell_length_c 7.493
_cell_angle_alpha 90.00
_cell_angle_beta 90.00
_cell_angle_gamma 90.00
_space_group_name_H-M_alt 'F -4 3 m'
_space_group_IT_number 216
_space_group_name_Hall 'F -4 2 3'
loop_
_atom_site_label
_atom_site_fract_x
_atom_site_fract_y
_atom_site_fract_z
K1 0.000 0.000 0.000
Ir1 0.250 0.250 0.750
Cl1 0.250 0.250 0.250
# Crystal system ... cubic
# Offset from the most stable computed form ... 1677 meV per atom
# Total energy ... -2.844 eV per atom
# M_tot ... 3.009 μB per formula unit